(1)
Compound: La2PrSm9
Source: Alexandria via LeMat-Bulk
Functional: PBE-GGA
Structure: relaxed

The structure in CIF format:
```
data_La2PrSm9
_symmetry_space_group_name_H-M 'P 4/m m m'
_symmetry_Int_Tables_number 123
_symmetry_space_group_name_Hall '-P 4 2'
_cell_length_a 5.1697
_cell_length_b 5.1697
_cell_length_c 15.5183
_cell_angle_alpha 90.00
_cell_angle_beta 90.00
_cell_angle_gamma 90.00
loop_
_atom_site_label
_atom_site_fract_x
_atom_site_fract_y
_atom_site_fract_z
La1 0.0000 0.0000 0.1662
Pr1 0.0000 0.0000 0.5000
Sm1 0.0000 0.5000 0.0000
Sm2 0.0000 0.5000 0.3341
Sm3 0.5000 0.5000 0.1673
Sm4 0.5000 0.5000 0.5000
```

Output
* energy above the most stable polymorph in this dataset: 0 meV per atom
* magnetic moment: 0.00 μB/atom
* formation enthalpy at 0 K: 0.019 eV per atom
* total DFT energy (no corrections): -4.740 eV/atom

(2)
Compound: La2PrSm
Source: Alexandria via LeMat-Bulk
Functional: PBE-GGA
Structure: relaxed

The structure in CIF format:
```
data_La2PrSm
_symmetry_space_group_name_H-M 'P 4/m m m'
_symmetry_Int_Tables_number 123
_symmetry_space_group_name_Hall '-P 4 2'
_cell_length_a 4.3502
_cell_length_b 4.3502
_cell_length_c 7.5909
_cell_angle_alpha 90.00
_cell_angle_beta 90.00
_cell_angle_gamma 90.00
loop_
_atom_site_label
_atom_site_fract_x
_atom_site_fract_y
_atom_site_fract_z
La1 0.0000 0.0000 0.2417
Pr1 0.5000 0.5000 0.5000
Sm1 0.5000 0.5000 0.0000
```

Output
* energy above the most stable polymorph in this dataset: 84 meV per atom
* magnetic moment: 0.00 μB/atom
* formation enthalpy at 0 K: 0.094 eV per atom
* total DFT energy (no corrections): -4.744 eV/atom

(3)
Compound: La3Pr2Sm7
Source: Alexandria via LeMat-Bulk
Functional: PBE-GGA
Structure: relaxed

The structure in CIF format:
```
data_La3Pr2Sm7
_symmetry_space_group_name_H-M 'P 1 2/m 1'
_symmetry_Int_Tables_number 10
_cell_length_a 6.5219
_cell_length_b 3.6162
_cell_length_c 18.0666
_cell_angle_alpha 90.00
_cell_angle_beta 96.36
_cell_angle_gamma 90.00
loop_
_symmetry_equiv_pos_as_xyz
'x,y,z'
'-x,-y,-z'
'-x,y,-z'
'x,-y,z'
loop_
_atom_site_label
_atom_site_fract_x
_atom_site_fract_y
_atom_site_fract_z
La1 0.0000 0.0000 0.0000
La2 0.0452 0.5000 0.6610
Pr1 0.4479 0.0000 0.3283
Sm1 0.2287 0.5000 0.1653
Sm2 0.2452 0.0000 0.4992
Sm3 0.2738 0.0000 0.8344
Sm4 0.5000 0.5000 0.0000
```

Output
* magnetic moment: 0.00 μB/atom
* formation enthalpy at 0 K: 0.073 eV per atom
* total DFT energy (no corrections): -4.708 eV/atom

(4)
Compound: La7PrSm4
Source: Alexandria via LeMat-Bulk
Functional: PBE-GGA
Structure: relaxed

The structure in CIF format:
```
data_La7PrSm4
_symmetry_space_group_name_H-M 'P -1'
_symmetry_Int_Tables_number 2
_cell_length_a 6.4776
_cell_length_b 7.4624
_cell_length_c 9.1873
_cell_angle_alpha 90.04
_cell_angle_beta 103.60
_cell_angle_gamma 90.05
loop_
_symmetry_equiv_pos_as_xyz
'x,y,z'
'-x,-y,-z'
loop_
_atom_site_label
_atom_site_fract_x
_atom_site_fract_y
_atom_site_fract_z
La1 0.0000 0.0000 0.0000
La2 0.2225 0.4989 0.6672
La3 0.2798 0.7516 0.3340
La4 0.4991 0.7520 0.9981
Pr1 0.0000 0.5000 0.0000
Sm1 0.2212 0.9998 0.6671
Sm2 0.2757 0.2473 0.3311
```

Output
* energy above the most stable polymorph in this dataset: 0 meV per atom
* magnetic moment: 0.00 μB/atom
* formation enthalpy at 0 K: 0.011 eV per atom
* total DFT energy (no corrections): -4.834 eV/atom

(5)
Compound: La2Pr3Sm
Source: Alexandria via LeMat-Bulk
Functional: PBE-GGA
Structure: relaxed

The structure in CIF format:
```
data_La2Pr3Sm
_symmetry_space_group_name_H-M 'C 1 2/c 1'
_symmetry_Int_Tables_number 15
_cell_length_a 17.5124
_cell_length_b 7.1025
_cell_length_c 7.1779
_cell_angle_alpha 90.00
_cell_angle_beta 101.79
_cell_angle_gamma 90.00
loop_
_symmetry_equiv_pos_as_xyz
'x,y,z'
'-x,-y,-z'
'-x,y,-z+1/2'
'x,-y,z+1/2'
'x+1/2,y+1/2,z'
'-x+1/2,-y+1/2,-z'
'-x+1/2,y+1/2,-z+1/2'
'x+1/2,-y+1/2,z+1/2'
loop_
_atom_site_label
_atom_site_fract_x
_atom_site_fract_y
_atom_site_fract_z
La1 0.1720 0.0032 0.0874
Pr1 0.0000 0.2329 0.7500
Pr2 0.1424 0.4976 0.5698
Sm1 0.0000 0.2376 0.2500
```

Output
* energy above the most stable polymorph in this dataset: 0 meV per atom
* magnetic moment: 0.00 μB/atom
* formation enthalpy at 0 K: 0.117 eV per atom
* total DFT energy (no corrections): -4.702 eV/atom

(6)
Compound: La5Pr7Sm
Source: Alexandria via LeMat-Bulk
Functional: PBE-GGA
Structure: relaxed

The structure in CIF format:
```
data_La5Pr7Sm
_symmetry_space_group_name_H-M 'I m m 2'
_symmetry_Int_Tables_number 44
_cell_length_a 6.9947
_cell_length_b 11.2133
_cell_length_c 12.2164
_cell_angle_alpha 90.00
_cell_angle_beta 90.00
_cell_angle_gamma 90.00
loop_
_symmetry_equiv_pos_as_xyz
'x,y,z'
'-x,-y,z'
'-x,y,z'
'x,-y,z'
'x+1/2,y+1/2,z+1/2'
'-x+1/2,-y+1/2,z+1/2'
'-x+1/2,y+1/2,z+1/2'
'x+1/2,-y+1/2,z+1/2'
loop_
_atom_site_label
_atom_site_fract_x
_atom_site_fract_y
_atom_site_fract_z
La1 0.0000 0.0000 0.0000
La2 0.2227 0.2799 0.5485
Pr1 0.0000 0.0000 0.5216
Pr2 0.0000 0.1689 0.2838
Pr3 0.0000 0.1802 0.7853
Pr4 0.0000 0.5000 0.0377
Pr5 0.0000 0.5000 0.3363
Sm1 0.0000 0.5000 0.7410
```

Output
* magnetic moment: 0.00 μB/atom
* formation enthalpy at 0 K: 0.197 eV per atom
* total DFT energy (no corrections): -4.635 eV/atom

(7)
Compound: La2Pr15Sm2
Source: Alexandria via LeMat-Bulk
Functional: PBE-GGA
Structure: relaxed

The structure in CIF format:
```
data_La2Pr15Sm2
_symmetry_space_group_name_H-M 'R -3 m'
_symmetry_Int_Tables_number 166
_symmetry_space_group_name_Hall '-R 3 2"'
_cell_length_a 11.5659
_cell_length_b 11.5659
_cell_length_c 18.3670
_cell_angle_alpha 90.00
_cell_angle_beta 90.00
_cell_angle_gamma 120.00
loop_
_atom_site_label
_atom_site_fract_x
_atom_site_fract_y
_atom_site_fract_z
La1 0.0000 0.0000 0.1781
Pr1 0.0000 0.2958 0.5000
Pr2 0.0000 0.5000 0.0000
Pr3 0.0162 0.5081 0.6359
Sm1 0.0000 0.0000 0.4090
```

Output
* magnetic moment: 0.00 μB/atom
* formation enthalpy at 0 K: 0.229 eV per atom
* total DFT energy (no corrections): -4.560 eV/atom

(8)
Compound: La2PrSm4
Source: Alexandria via LeMat-Bulk
Functional: PBE-GGA
Structure: relaxed

The structure in CIF format:
```
data_La2PrSm4
_symmetry_space_group_name_H-M 'C 1 2/m 1'
_symmetry_Int_Tables_number 12
_cell_length_a 12.4442
_cell_length_b 11.8082
_cell_length_c 7.1302
_cell_angle_alpha 90.00
_cell_angle_beta 101.11
_cell_angle_gamma 90.00
loop_
_symmetry_equiv_pos_as_xyz
'x,y,z'
'-x,-y,-z'
'-x,y,-z'
'x,-y,z'
'x+1/2,y+1/2,z'
'-x+1/2,-y+1/2,-z'
'-x+1/2,y+1/2,-z'
'x+1/2,-y+1/2,z'
loop_
_atom_site_label
_atom_site_fract_x
_atom_site_fract_y
_atom_site_fract_z
La1 0.0000 0.0000 0.0000
La2 0.0000 0.0000 0.5000
La3 0.2500 0.2500 0.0000
Pr1 0.0000 0.5000 0.0000
Pr2 0.0000 0.5000 0.5000
Sm1 0.1119 0.2510 0.3928
Sm2 0.2498 0.0000 0.2689
Sm3 0.2496 0.0000 0.7321
```

Output
* energy above the most stable polymorph in this dataset: 137 meV per atom
* magnetic moment: 0.00 μB/atom
* formation enthalpy at 0 K: 0.245 eV per atom
* total DFT energy (no corrections): -4.542 eV/atom

(9)
Compound: La12PrSm6
Source: Alexandria via LeMat-Bulk
Functional: PBE-GGA
Structure: relaxed

The structure in CIF format:
```
data_La12PrSm6
_symmetry_space_group_name_H-M 'R -3'
_symmetry_Int_Tables_number 148
_symmetry_space_group_name_Hall '-R 3'
_cell_length_a 16.1332
_cell_length_b 16.1332
_cell_length_c 9.0738
_cell_angle_alpha 90.00
_cell_angle_beta 90.00
_cell_angle_gamma 120.00
loop_
_atom_site_label
_atom_site_fract_x
_atom_site_fract_y
_atom_site_fract_z
La1 0.0169 0.8763 0.1655
La2 0.0690 0.5074 0.1660
Pr1 0.0000 0.0000 0.5000
Sm1 0.0351 0.7534 0.8323
```

Output
* magnetic moment: 0.00 μB/atom
* formation enthalpy at 0 K: 0.018 eV per atom
* total DFT energy (no corrections): -4.836 eV/atom